Entry from Alexandria: a relaxed Co2NiRhC crystal (PBE).

Values from the calculation:
crystal system	tetragonal
DFT formation energy	0.26	eV per atom
DOS(E_F)	10.20	states/eV/f.u.
M_tot	3.9	μB per formula unit
space group	P4/mmm, No. 123

Structure (extended XYZ):
```
5
Lattice="3.782 0.000 0.000 0.000 3.782 0.000 0.000 0.000 3.806" Properties=species:S:1:pos:R:3 pbc="T T T"
Co 0.000 1.891 0.000
Co 1.891 0.000 0.000
Ni 0.000 0.000 1.903
Rh 1.891 1.891 1.903
C 0.000 0.000 0.000
```